! SmNb4O8 PBE optimized geometry; values from VASP
! E_tot = -8.8806 eV/atom
! calculated volume = 14.14 Å³ per atom
! total moment = 0.00 μB per formula unit
! SG = No. 166
! formation energy from raw total energies = -54.6 kcal/mol of atoms
! DOS(E_F) = 7.3 states/eV/f.u.
&SYSTEM
  ibrav = 0, nat = 13, ntyp = 3
/
ATOMIC_SPECIES
O 16.00 O.upf
Nb 92.91 Nb.upf
Sm 150.36 Sm.upf
CELL_PARAMETERS angstrom
-0.635 -2.113 -5.555
4.804 3.258 1.427
1.719 -4.627 4.779
ATOMIC_POSITIONS crystal
O 0.020 0.757 0.777
O 0.487 0.243 0.223
O 0.980 0.736 0.223
O 0.020 0.264 0.777
O 0.466 0.733 0.198
O 0.980 0.243 0.223
O 0.534 0.267 0.802
O 0.513 0.757 0.777
Nb 0.500 0.500 0.000
Nb 0.000 0.500 0.000
Nb 0.500 0.000 0.000
Nb 0.000 0.000 0.000
Sm 0.000 0.500 0.500